# Bi2S2I (PBE, optimized geometry)
data_Bi2S2I
_space_group_name_H-M_alt 'C 1 2/c 1'
_space_group_IT_number 15
_cell_length_a 18.029
_cell_length_b 3.819
_cell_length_c 9.004
_cell_angle_alpha 90.00
_cell_angle_beta 104.45
_cell_angle_gamma 90.00
loop_
_space_group_symop_operation_xyz
'x,y,z'
'-x,-y,-z'
'-x,y,-z+1/2'
'x,-y,z+1/2'
'x+1/2,y+1/2,z'
'-x+1/2,-y+1/2,-z'
'-x+1/2,y+1/2,-z+1/2'
'x+1/2,-y+1/2,z+1/2'
loop_
_atom_site_label
_atom_site_type_symbol
_atom_site_fract_x
_atom_site_fract_y
_atom_site_fract_z
_atom_site_occupancy
Bi1 Bi 0.162 0.001 0.332 1
S1 S 0.183 0.500 0.090 1
I1 I 0.000 0.499 0.750 1
# Excess energy over the best structure of this formula in the dataset ... 0.0 meV/atom
# Formation energy without anion corrections ... -0.2553 eV/atom